#A
# TaMnSe2

A crystal of TaMnSe2 relaxed with PBEsol (SCAN, Alexandria).

Summary:
The density of states at the Fermi level comes out at 6.289 states/eV per cell.

Geometry as CIF:
```
data_TaMnSe2
_chemical_formula_sum 'Ta4 Mn4 Se8'
_symmetry_space_group_name_H-M 'F -4 3 m'
_symmetry_Int_Tables_number 216
_symmetry_space_group_name_Hall 'F -4 2 3'
_cell_length_a 6.4082
_cell_length_b 6.4082
_cell_length_c 6.4082
_cell_angle_alpha 90.00
_cell_angle_beta 90.00
_cell_angle_gamma 90.00
loop_
_atom_site_label
_atom_site_type_symbol
_atom_site_fract_x
_atom_site_fract_y
_atom_site_fract_z
Ta1 Ta 0.0000 0.0000 0.0000
Mn1 Mn 0.2500 0.2500 0.7500
Se1 Se 0.0000 0.0000 0.5000
Se2 Se 0.2500 0.2500 0.2500
```

=====

#B
# TaMnSe2

A crystal of TaMnSe2 relaxed with PBEsol (SCAN, Alexandria).

Summary:
The density of states at the Fermi level comes out at 4.784 states/eV per cell.

Geometry as CIF:
```
data_TaMnSe2
_chemical_formula_sum 'Ta2 Mn2 Se4'
_symmetry_space_group_name_H-M 'C 1 2/m 1'
_symmetry_Int_Tables_number 12
_cell_length_a 6.6034
_cell_length_b 7.7024
_cell_length_c 3.1236
_cell_angle_alpha 90.00
_cell_angle_beta 116.99
_cell_angle_gamma 90.00
loop_
_symmetry_equiv_pos_as_xyz
'x,y,z'
'-x,-y,-z'
'-x,y,-z'
'x,-y,z'
'x+1/2,y+1/2,z'
'-x+1/2,-y+1/2,-z'
'-x+1/2,y+1/2,-z'
'x+1/2,-y+1/2,z'
loop_
_atom_site_label
_atom_site_type_symbol
_atom_site_fract_x
_atom_site_fract_y
_atom_site_fract_z
Ta1 Ta 0.0000 0.0000 0.0000
Mn1 Mn 0.0000 0.5000 0.0000
Se1 Se 0.2500 0.2500 0.5000
```

=====

#C
# TaMnSe2

A crystal of TaMnSe2 relaxed with PBEsol (SCAN, Alexandria).

Summary:
The density of states at the Fermi level comes out at 1.163 states/eV per cell.

Geometry as CIF:
```
data_TaMnSe2
_chemical_formula_sum 'Ta1 Mn1 Se2'
_symmetry_space_group_name_H-M 'P 4/m m m'
_symmetry_Int_Tables_number 123
_symmetry_space_group_name_Hall '-P 4 2'
_cell_length_a 3.1951
_cell_length_b 3.1951
_cell_length_c 6.3426
_cell_angle_alpha 90.00
_cell_angle_beta 90.00
_cell_angle_gamma 90.00
loop_
_atom_site_label
_atom_site_type_symbol
_atom_site_fract_x
_atom_site_fract_y
_atom_site_fract_z
Ta1 Ta 0.0000 0.0000 0.0000
Mn1 Mn 0.0000 0.0000 0.5000
Se1 Se 0.5000 0.5000 0.2422
```

=====

Most stable one: #C, least stable one: #A.

=====

#A
# Mn2TeSe

A crystal of Mn2TeSe relaxed with PBEsol (SCAN, Alexandria).

Summary:
The density of states at the Fermi level comes out at 5.100 states/eV per cell.

Geometry as CIF:
```
data_Mn2TeSe
_chemical_formula_sum 'Mn6 Te3 Se3'
_symmetry_space_group_name_H-M 'R -3 m'
_symmetry_Int_Tables_number 166
_symmetry_space_group_name_Hall '-R 3 2"'
_cell_length_a 3.8029
_cell_length_b 3.8029
_cell_length_c 18.7909
_cell_angle_alpha 90.00
_cell_angle_beta 90.00
_cell_angle_gamma 120.00
loop_
_atom_site_label
_atom_site_type_symbol
_atom_site_fract_x
_atom_site_fract_y
_atom_site_fract_z
Mn1 Mn 0.0000 0.0000 0.2408
Te1 Te 0.0000 0.0000 0.0000
Se1 Se 0.0000 0.0000 0.5000
```

=====

#B
# Mn2TeSe

A crystal of Mn2TeSe relaxed with PBEsol (SCAN, Alexandria).

Summary:
The density of states at the Fermi level comes out at 3.543 states/eV per cell.

Geometry as CIF:
```
data_Mn2TeSe
_chemical_formula_sum 'Mn4 Te2 Se2'
_symmetry_space_group_name_H-M 'C m m m'
_symmetry_Int_Tables_number 65
_symmetry_space_group_name_Hall '-C 2 2'
_cell_length_a 3.8385
_cell_length_b 5.9875
_cell_length_c 7.2207
_cell_angle_alpha 90.00
_cell_angle_beta 90.00
_cell_angle_gamma 90.00
loop_
_atom_site_label
_atom_site_type_symbol
_atom_site_fract_x
_atom_site_fract_y
_atom_site_fract_z
Mn1 Mn 0.0000 0.0000 0.2268
Te1 Te 0.0000 0.5000 0.5000
Se1 Se 0.0000 0.5000 0.0000
```

=====

Most stable one: #A, least stable one: #B.

=====

#A
# Mn2TeSe

A crystal of Mn2TeSe relaxed with PBEsol (SCAN, Alexandria).

Summary:
The density of states at the Fermi level comes out at 1.266 states/eV per cell.

Geometry as CIF:
```
data_Mn2TeSe
_chemical_formula_sum 'Mn2 Te1 Se1'
_symmetry_space_group_name_H-M 'P 4/m m m'
_symmetry_Int_Tables_number 123
_symmetry_space_group_name_Hall '-P 4 2'
_cell_length_a 3.8471
_cell_length_b 3.8471
_cell_length_c 5.4513
_cell_angle_alpha 90.00
_cell_angle_beta 90.00
_cell_angle_gamma 90.00
loop_
_atom_site_label
_atom_site_type_symbol
_atom_site_fract_x
_atom_site_fract_y
_atom_site_fract_z
Mn1 Mn 0.0000 0.0000 0.0000
Mn2 Mn 0.5000 0.5000 0.5000
Te1 Te 0.0000 0.0000 0.5000
Se1 Se 0.5000 0.5000 0.0000
```

=====

#B
# Mn2TeSe

A crystal of Mn2TeSe relaxed with PBEsol (SCAN, Alexandria).

Summary:
The density of states at the Fermi level comes out at 10.463 states/eV per cell.

Geometry as CIF:
```
data_Mn2TeSe
_chemical_formula_sum 'Mn8 Te4 Se4'
_symmetry_space_group_name_H-M 'F m -3 m'
_symmetry_Int_Tables_number 225
_symmetry_space_group_name_Hall '-F 4 2 3'
_cell_length_a 6.4169
_cell_length_b 6.4169
_cell_length_c 6.4169
_cell_angle_alpha 90.00
_cell_angle_beta 90.00
_cell_angle_gamma 90.00
loop_
_atom_site_label
_atom_site_type_symbol
_atom_site_fract_x
_atom_site_fract_y
_atom_site_fract_z
Mn1 Mn 0.2500 0.2500 0.2500
Te1 Te 0.0000 0.0000 0.0000
Se1 Se 0.0000 0.0000 0.5000
```

=====

Most stable one: #A, least stable one: #B.

=====

#A
# Mn2TeSe

A crystal of Mn2TeSe relaxed with PBEsol (SCAN, Alexandria).

Summary:
The density of states at the Fermi level comes out at 6.603 states/eV per cell.

Geometry as CIF:
```
data_Mn2TeSe
_chemical_formula_sum 'Mn4 Te2 Se2'
_symmetry_space_group_name_H-M 'A m m 2'
_symmetry_Int_Tables_number 38
_cell_length_a 3.3894
_cell_length_b 3.4250
_cell_length_c 11.8691
_cell_angle_alpha 90.00
_cell_angle_beta 90.00
_cell_angle_gamma 90.00
loop_
_symmetry_equiv_pos_as_xyz
'x,y,z'
'-x,-y,z'
'-x,y,z'
'x,-y,z'
'x,y+1/2,z+1/2'
'-x,-y+1/2,z+1/2'
'-x,y+1/2,z+1/2'
'x,-y+1/2,z+1/2'
loop_
_atom_site_label
_atom_site_type_symbol
_atom_site_fract_x
_atom_site_fract_y
_atom_site_fract_z
Mn1 Mn 0.0000 0.0000 0.0000
Mn2 Mn 0.5000 0.0000 0.1714
Te1 Te 0.0000 0.0000 0.7794
Se1 Se 0.5000 0.0000 0.5256
```

=====

#B
# Mn2TeSe

A crystal of Mn2TeSe relaxed with PBEsol (SCAN, Alexandria).

Summary:
The density of states at the Fermi level comes out at 2.687 states/eV per cell.

Geometry as CIF:
```
data_Mn2TeSe
_chemical_formula_sum 'Mn2 Te1 Se1'
_symmetry_space_group_name_H-M 'P 4/m m m'
_symmetry_Int_Tables_number 123
_symmetry_space_group_name_Hall '-P 4 2'
_cell_length_a 4.5340
_cell_length_b 4.5340
_cell_length_c 3.2215
_cell_angle_alpha 90.00
_cell_angle_beta 90.00
_cell_angle_gamma 90.00
loop_
_atom_site_label
_atom_site_type_symbol
_atom_site_fract_x
_atom_site_fract_y
_atom_site_fract_z
Mn1 Mn 0.0000 0.5000 0.0000
Te1 Te 0.0000 0.0000 0.5000
Se1 Se 0.5000 0.5000 0.5000
```

=====

#C
# Mn2TeSe

A crystal of Mn2TeSe relaxed with PBEsol (SCAN, Alexandria).

Summary:
The density of states at the Fermi level comes out at 1.823 states/eV per cell.

Geometry as CIF:
```
data_Mn2TeSe
_chemical_formula_sum 'Mn2 Te1 Se1'
_symmetry_space_group_name_H-M 'P 4 m m'
_symmetry_Int_Tables_number 99
_cell_length_a 3.3153
_cell_length_b 3.3153
_cell_length_c 6.6860
_cell_angle_alpha 90.00
_cell_angle_beta 90.00
_cell_angle_gamma 90.00
loop_
_symmetry_equiv_pos_as_xyz
'x,y,z'
'-y,x,z'
'-x,-y,z'
'y,-x,z'
'-x,y,z'
'y,x,z'
'x,-y,z'
'-y,-x,z'
loop_
_atom_site_label
_atom_site_type_symbol
_atom_site_fract_x
_atom_site_fract_y
_atom_site_fract_z
Mn1 Mn 0.0000 0.0000 0.0000
Mn2 Mn 0.5000 0.5000 0.2195
Te1 Te 0.5000 0.5000 0.8121
Se1 Se 0.0000 0.0000 0.3632
```

=====

Most stable one: #C, least stable one: #B.

=====

#A
# TiMnSe2

A crystal of TiMnSe2 relaxed with PBEsol (SCAN, Alexandria).

Summary:
The density of states at the Fermi level comes out at 2.349 states/eV per cell.

Geometry as CIF:
```
data_TiMnSe2
_chemical_formula_sum 'Ti4 Mn4 Se8'
_symmetry_space_group_name_H-M 'F m -3 m'
_symmetry_Int_Tables_number 225
_symmetry_space_group_name_Hall '-F 4 2 3'
_cell_length_a 6.3195
_cell_length_b 6.3195
_cell_length_c 6.3195
_cell_angle_alpha 90.00
_cell_angle_beta 90.00
_cell_angle_gamma 90.00
loop_
_atom_site_label
_atom_site_type_symbol
_atom_site_fract_x
_atom_site_fract_y
_atom_site_fract_z
Ti1 Ti 0.0000 0.0000 0.0000
Mn1 Mn 0.0000 0.0000 0.5000
Se1 Se 0.2500 0.2500 0.2500
```

=====

#B
# TiMnSe2

A crystal of TiMnSe2 relaxed with PBEsol (SCAN, Alexandria).

Summary:
The density of states at the Fermi level comes out at 6.407 states/eV per cell.

Geometry as CIF:
```
data_TiMnSe2
_chemical_formula_sum 'Ti3 Mn3 Se6'
_symmetry_space_group_name_H-M 'R -3 m'
_symmetry_Int_Tables_number 166
_symmetry_space_group_name_Hall '-R 3 2"'
_cell_length_a 3.4219
_cell_length_b 3.4219
_cell_length_c 23.9430
_cell_angle_alpha 90.00
_cell_angle_beta 90.00
_cell_angle_gamma 120.00
loop_
_atom_site_label
_atom_site_type_symbol
_atom_site_fract_x
_atom_site_fract_y
_atom_site_fract_z
Ti1 Ti 0.0000 0.0000 0.0000
Mn1 Mn 0.0000 0.0000 0.5000
Se1 Se 0.0000 0.0000 0.3994
```

=====

Most stable one: #B, least stable one: #A.

=====

#A
# MnWSe2

A crystal of MnWSe2 relaxed with PBEsol (SCAN, Alexandria).

Summary:
The density of states at the Fermi level comes out at 1.798 states/eV per cell.

Geometry as CIF:
```
data_MnWSe2
_chemical_formula_sum 'Mn1 W1 Se2'
_symmetry_space_group_name_H-M 'P 4 m m'
_symmetry_Int_Tables_number 99
_cell_length_a 3.2056
_cell_length_b 3.2056
_cell_length_c 6.8491
_cell_angle_alpha 90.00
_cell_angle_beta 90.00
_cell_angle_gamma 90.00
loop_
_symmetry_equiv_pos_as_xyz
'x,y,z'
'-y,x,z'
'-x,-y,z'
'y,-x,z'
'-x,y,z'
'y,x,z'
'x,-y,z'
'-y,-x,z'
loop_
_atom_site_label
_atom_site_type_symbol
_atom_site_fract_x
_atom_site_fract_y
_atom_site_fract_z
Mn1 Mn 0.0000 0.0000 0.0000
W1 W 0.5000 0.5000 0.7714
Se1 Se 0.0000 0.0000 0.5792
Se2 Se 0.5000 0.5000 0.1496
```

=====

#B
# MnWSe2

A crystal of MnWSe2 relaxed with PBEsol (SCAN, Alexandria).

Summary:
The density of states at the Fermi level comes out at 2.555 states/eV per cell.

Geometry as CIF:
```
data_MnWSe2
_chemical_formula_sum 'Mn2 W2 Se4'
_symmetry_space_group_name_H-M 'C 1 m 1'
_symmetry_Int_Tables_number 8
_cell_length_a 8.3334
_cell_length_b 3.1816
_cell_length_c 5.3861
_cell_angle_alpha 90.00
_cell_angle_beta 100.72
_cell_angle_gamma 90.00
loop_
_symmetry_equiv_pos_as_xyz
'x,y,z'
'x,-y,z'
'x+1/2,y+1/2,z'
'x+1/2,-y+1/2,z'
loop_
_atom_site_label
_atom_site_type_symbol
_atom_site_fract_x
_atom_site_fract_y
_atom_site_fract_z
Mn1 Mn 0.0000 0.0000 0.0000
W1 W 0.2544 0.5000 0.2447
Se1 Se 0.2593 0.0000 0.8702
Se2 Se 0.4878 0.0000 0.4223
```

=====

#C
# MnWSe2

A crystal of MnWSe2 relaxed with PBEsol (SCAN, Alexandria).

Summary:
The density of states at the Fermi level comes out at 3.203 states/eV per cell.

Geometry as CIF:
```
data_MnWSe2
_chemical_formula_sum 'Mn4 W4 Se8'
_symmetry_space_group_name_H-M 'F m -3 m'
_symmetry_Int_Tables_number 225
_symmetry_space_group_name_Hall '-F 4 2 3'
_cell_length_a 6.2666
_cell_length_b 6.2666
_cell_length_c 6.2666
_cell_angle_alpha 90.00
_cell_angle_beta 90.00
_cell_angle_gamma 90.00
loop_
_atom_site_label
_atom_site_type_symbol
_atom_site_fract_x
_atom_site_fract_y
_atom_site_fract_z
Mn1 Mn 0.0000 0.0000 0.0000
W1 W 0.0000 0.0000 0.5000
Se1 Se 0.2500 0.2500 0.2500
```

=====

Most stable one: #A, least stable one: #C.